Run w
## TbPr3Nd (PBE)

Data for crystalline TbPr3Nd at its relaxed geometry.

Calculated values
* magnetic moment: 0.000 μB per atom

```
data_TbPr3Nd
_chemical_formula_sum 'Tb4 Pr12 Nd4'
_symmetry_space_group_name_H-M 'C 1 2/m 1'
_symmetry_Int_Tables_number 12
_symmetry_space_group_name_Hall '-C 2y'
_cell_length_a 17.738
_cell_length_b 6.942
_cell_length_c 6.157
_cell_angle_alpha 90.00
_cell_angle_beta 110.04
_cell_angle_gamma 90.00
loop_
_atom_site_label
_atom_site_type_symbol
_atom_site_fract_x
_atom_site_fract_y
_atom_site_fract_z
Tb1 Tb 0.050 0.000 0.300
Pr1 Pr 0.153 0.233 0.902
Pr2 Pr 0.226 0.500 0.475
Nd1 Nd 0.000 0.500 0.000
Nd2 Nd 0.000 0.500 0.500
```

---

Run x
## TbPr3Nd (PBE)

Data for crystalline TbPr3Nd at its relaxed geometry.

Calculated values
* magnetic moment: 0.000 μB per atom

```
data_TbPr3Nd
_chemical_formula_sum 'Tb4 Pr12 Nd4'
_symmetry_space_group_name_H-M 'C m c m'
_symmetry_Int_Tables_number 63
_symmetry_space_group_name_Hall '-C 2c 2'
_cell_length_a 8.210
_cell_length_b 14.240
_cell_length_c 6.302
_cell_angle_alpha 90.00
_cell_angle_beta 90.00
_cell_angle_gamma 90.00
loop_
_atom_site_label
_atom_site_type_symbol
_atom_site_fract_x
_atom_site_fract_y
_atom_site_fract_z
Tb1 Tb 0.000 0.169 0.250
Pr1 Pr 0.000 0.500 0.000
Pr2 Pr 0.199 0.101 0.750
Nd1 Nd 0.000 0.300 0.750
```

---

Which is the most stable structure? run w is the most stable.

---

Run w
## Tb6Pr3Nd (PBE)

Data for crystalline Tb6Pr3Nd at its relaxed geometry.

Calculated values
* magnetic moment: 0.000 μB per atom

```
data_Tb6Pr3Nd
_chemical_formula_sum 'Tb24 Pr12 Nd4'
_symmetry_space_group_name_H-M 'C m c 21'
_symmetry_Int_Tables_number 36
_symmetry_space_group_name_Hall 'C 2c -2'
_cell_length_a 11.066
_cell_length_b 19.138
_cell_length_c 6.407
_cell_angle_alpha 90.00
_cell_angle_beta 90.00
_cell_angle_gamma 90.00
loop_
_atom_site_label
_atom_site_type_symbol
_atom_site_fract_x
_atom_site_fract_y
_atom_site_fract_z
Tb1 Tb 0.000 0.038 0.000
Tb2 Tb 0.000 0.274 0.781
Tb3 Tb 0.168 0.455 0.680
Tb4 Tb 0.239 0.291 0.506
Pr1 Pr 0.000 0.388 0.205
Pr2 Pr 0.177 0.114 0.596
Nd1 Nd 0.000 0.193 0.258
```

---

Run x
## Tb6Pr3Nd (PBE)

Data for crystalline Tb6Pr3Nd at its relaxed geometry.

Calculated values
* magnetic moment: 0.000 μB per atom

```
data_Tb6Pr3Nd
_chemical_formula_sum 'Tb18 Pr9 Nd3'
_symmetry_space_group_name_H-M 'R 3'
_symmetry_Int_Tables_number 146
_symmetry_space_group_name_Hall 'R 3'
_cell_length_a 10.0034
_cell_length_b 10.0034
_cell_length_c 11.7951
_cell_angle_alpha 90.00
_cell_angle_beta 90.00
_cell_angle_gamma 120.00
loop_
_atom_site_label
_atom_site_type_symbol
_atom_site_fract_x
_atom_site_fract_y
_atom_site_fract_z
Tb1 Tb 0.0005 0.6745 0.0000
Tb2 Tb 0.0079 0.3407 0.1666
Pr1 Pr 0.0000 0.0000 0.0010
Pr2 Pr 0.0000 0.0000 0.5002
Pr3 Pr 0.0000 0.0000 0.7507
Nd1 Nd 0.0000 0.0000 0.2506
```

---

Which is the most stable structure? run w is the most stable.

---

Run w
## Tb4Pr2Nd (PBE)

Data for crystalline Tb4Pr2Nd at its relaxed geometry.

Calculated values
* magnetic moment: 0.000 μB per atom

```
data_Tb4Pr2Nd
_chemical_formula_sum 'Tb8 Pr4 Nd2'
_symmetry_space_group_name_H-M 'P -1'
_symmetry_Int_Tables_number 2
_symmetry_space_group_name_Hall '-P 1'
_cell_length_a 6.947
_cell_length_b 7.070
_cell_length_c 10.480
_cell_angle_alpha 90.00
_cell_angle_beta 90.00
_cell_angle_gamma 73.29
loop_
_atom_site_label
_atom_site_type_symbol
_atom_site_fract_x
_atom_site_fract_y
_atom_site_fract_z
Tb1 Tb 0.229 0.310 0.217
Tb2 Tb 0.230 0.310 0.783
Tb3 Tb 0.230 0.811 0.281
Tb4 Tb 0.231 0.810 0.719
Pr1 Pr 0.000 0.500 0.500
Pr2 Pr 0.500 0.000 0.500
Pr3 Pr 0.500 0.500 0.000
Pr4 Pr 0.500 0.500 0.500
Nd1 Nd 0.000 0.000 0.000
Nd2 Nd 0.500 0.000 0.000
```

---

Run x
## Tb4Pr2Nd (PBE)

Data for crystalline Tb4Pr2Nd at its relaxed geometry.

Calculated values
* magnetic moment: 0.000 μB per atom

```
data_Tb4Pr2Nd
_chemical_formula_sum 'Tb8 Pr4 Nd2'
_symmetry_space_group_name_H-M 'I 4/m m m'
_symmetry_Int_Tables_number 139
_symmetry_space_group_name_Hall '-I 4 2'
_cell_length_a 5.616
_cell_length_b 5.616
_cell_length_c 17.211
_cell_angle_alpha 90.00
_cell_angle_beta 90.00
_cell_angle_gamma 90.00
loop_
_atom_site_label
_atom_site_type_symbol
_atom_site_fract_x
_atom_site_fract_y
_atom_site_fract_z
Tb1 Tb 0.000 0.000 0.176
Tb2 Tb 0.000 0.500 0.000
Pr1 Pr 0.000 0.000 0.378
Nd1 Nd 0.000 0.000 0.000
```

---

Which is the most stable structure? run w is the most stable.

---

Run w
## Tb3PrNd2 (PBE)

Data for crystalline Tb3PrNd2 at its relaxed geometry.

Calculated values
* magnetic moment: 0.000 μB per atom

```
data_Tb3PrNd2
_chemical_formula_sum 'Tb12 Pr4 Nd8'
_symmetry_space_group_name_H-M 'C 1 2/c 1'
_symmetry_Int_Tables_number 15
_symmetry_space_group_name_Hall '-C 2yc'
_cell_length_a 9.089
_cell_length_b 9.956
_cell_length_c 9.099
_cell_angle_alpha 90.00
_cell_angle_beta 101.59
_cell_angle_gamma 90.00
loop_
_atom_site_label
_atom_site_type_symbol
_atom_site_fract_x
_atom_site_fract_y
_atom_site_fract_z
Tb1 Tb 0.000 0.082 0.250
Tb2 Tb 0.249 0.416 0.999
Pr1 Pr 0.000 0.415 0.250
Nd1 Nd 0.124 0.247 0.626
```

---

Run x
## Tb3PrNd2 (PBE)

Data for crystalline Tb3PrNd2 at its relaxed geometry.

Calculated values
* magnetic moment: 0.000 μB per atom

```
data_Tb3PrNd2
_chemical_formula_sum 'Tb6 Pr2 Nd4'
_symmetry_space_group_name_H-M 'I m m 2'
_symmetry_Int_Tables_number 44
_symmetry_space_group_name_Hall 'I 2 -2'
_cell_length_a 3.409
_cell_length_b 10.201
_cell_length_c 11.976
_cell_angle_alpha 90.00
_cell_angle_beta 90.00
_cell_angle_gamma 90.00
loop_
_atom_site_label
_atom_site_type_symbol
_atom_site_fract_x
_atom_site_fract_y
_atom_site_fract_z
Tb1 Tb 0.000 0.000 0.000
Tb2 Tb 0.000 0.333 0.001
Pr1 Pr 0.000 0.500 0.750
Nd1 Nd 0.000 0.166 0.751
```

---

Which is the most stable structure? run w is the most stable.